# 1
Computed, not measured: a geometry-optimized CaV2Se structure at the PBE level of DFT.

Formation energy without anion corrections (kJ/mol of atoms): 13.15
Calculated total energy (eV for the cell shown): -92.713

a = 4.2492 Å, b = 4.2492 Å, c = 18.7680 Å
α = 90.00°, β = 90.00°, γ = 90.00°
Closest atoms and distances in Å follow each position.
Element x y z (fractional)
Ca 0.0000 0.0000 0.0000  4 Se 3.00, 4 V 3.24
Ca 0.0000 0.5000 0.2500  4 Se 3.00, 4 V 3.24
Ca 0.5000 0.0000 0.7500  4 Se 3.00, 4 V 3.24
Ca 0.5000 0.5000 0.5000  4 Se 3.00, 4 V 3.24
V 0.0385 0.7500 0.6250  2 V 2.15
V 0.2500 0.0385 0.3750  2 V 2.15
V 0.2500 0.4615 0.8750  2 V 2.15
V 0.4615 0.7500 0.1250  2 V 2.15
V 0.5385 0.2500 0.1250  2 V 2.15
V 0.7500 0.5385 0.8750  2 V 2.15
V 0.7500 0.9615 0.3750  2 V 2.15
V 0.9615 0.2500 0.6250  2 V 2.15
Se 0.0000 0.0000 0.5000  4 V 2.58
Se 0.0000 0.5000 0.7500  4 V 2.58
Se 0.5000 0.0000 0.2500  4 V 2.58
Se 0.5000 0.5000 0.0000  4 V 2.58


# 2
Computed, not measured: a geometry-optimized CaV3Se structure at the PBE level of DFT.

Formation energy without anion corrections (kJ/mol of atoms): 49.79
Calculated total energy (eV for the cell shown): -30.262

a = 4.6582 Å, b = 4.6582 Å, c = 4.6582 Å
α = 90.00°, β = 90.00°, γ = 90.00°
Closest atoms and distances in Å follow each position.
Element x y z (fractional)
Ca 0.0000 0.0000 0.0000  12 V 3.29
V 0.0000 0.5000 0.5000  2 Se 2.33
V 0.5000 0.0000 0.5000  2 Se 2.33
V 0.5000 0.5000 0.0000  2 Se 2.33
Se 0.5000 0.5000 0.5000  6 V 2.33


Record order is preserved below.
Calculated density: 4.330; 4.466 g cm⁻³